No. 1
Entry from the Alexandria database: a geometry-optimized ReSeS3 structure (PBE).

abc: 4.570 4.570 4.570
angles: 90.00 90.00 90.00
Positions (direct):
Re 0.000 0.000 0.000
Se 0.500 0.500 0.500
S 0.000 0.500 0.500
S 0.500 0.000 0.500
S 0.500 0.500 0.000

Output
The raw total energy is -3.9376 eV/atom. The value obtained for the uncorrected formation energy is 1.73 eV/atom. The value obtained for the distance to the lowest polymorph of the same formula is 1.245 eV/atom.

=====

No. 2
Entry from the Alexandria database: a geometry-optimized AcYGe3 structure (PBE).

abc: 13.992 13.992 4.078
angles: 90.00 90.00 161.69
Positions (direct):
Ac 0.075 0.925 0.750
Ac 0.925 0.075 0.250
Y 0.204 0.796 0.250
Y 0.796 0.204 0.750
Ge 0.311 0.689 0.250
Ge 0.371 0.629 0.750
Ge 0.473 0.527 0.750
Ge 0.527 0.473 0.250
Ge 0.629 0.371 0.250
Ge 0.689 0.311 0.750

Output
The raw total energy is -5.5922 eV/atom. The calculation puts the energy of formation from the pure elements at -16.31 kcal/mol of atoms.

=====

No. 3
Entry from the Alexandria database: a geometry-optimized Ho2InBr structure (PBE).

abc: 11.169 11.169 11.169
angles: 18.06 18.06 18.06
Positions (direct):
Ho 0.095 0.095 0.095
Ho 0.905 0.905 0.905
In 0.000 0.000 0.000
Br 0.500 0.500 0.500

Output
The raw total energy is -3.7340 eV/atom. The value obtained for the uncorrected formation energy is -0.34 eV/atom.

=====

No. 4
Entry from the Alexandria database: a geometry-optimized CsBe4B3O9 structure (PBE).

abc: 8.463 13.448 6.567
angles: 90.00 90.00 90.00
Positions (direct):
Cs 0.083 0.250 0.159
Cs 0.417 0.750 0.659
Cs 0.583 0.250 0.341
Cs 0.917 0.750 0.841
Be 0.061 0.558 0.410
Be 0.061 0.942 0.410
Be 0.228 0.142 0.640
Be 0.228 0.358 0.640
Be 0.272 0.642 0.140
Be 0.272 0.858 0.140
Be 0.439 0.058 0.910
Be 0.439 0.442 0.910
Be 0.561 0.558 0.090
Be 0.561 0.942 0.090
Be 0.728 0.142 0.860
Be 0.728 0.358 0.860
Be 0.772 0.642 0.360
Be 0.772 0.858 0.360
Be 0.939 0.058 0.590
Be 0.939 0.442 0.590
B 0.044 0.750 0.312
B 0.176 0.532 0.804
B 0.176 0.968 0.804
B 0.324 0.032 0.304
B 0.324 0.468 0.304
B 0.456 0.250 0.812
B 0.544 0.750 0.188
B 0.676 0.532 0.696
B 0.676 0.968 0.696
B 0.824 0.032 0.196
B 0.824 0.468 0.196
B 0.956 0.250 0.688
O 0.031 0.162 0.642
O 0.031 0.338 0.642
O 0.055 0.534 0.657
O 0.055 0.966 0.657
O 0.192 0.750 0.222
O 0.204 0.612 0.923
O 0.204 0.888 0.923
O 0.236 0.557 0.315
O 0.236 0.943 0.315
O 0.264 0.057 0.815
O 0.264 0.443 0.815
O 0.296 0.112 0.423
O 0.296 0.388 0.423
O 0.308 0.250 0.722
O 0.445 0.034 0.157
O 0.445 0.466 0.157
O 0.469 0.662 0.142
O 0.469 0.838 0.142
O 0.531 0.162 0.858
O 0.531 0.338 0.858
O 0.555 0.534 0.843
O 0.555 0.966 0.843
O 0.692 0.750 0.278
O 0.704 0.612 0.577
O 0.704 0.888 0.577
O 0.736 0.557 0.185
O 0.736 0.943 0.185
O 0.764 0.057 0.685
O 0.764 0.443 0.685
O 0.796 0.112 0.077
O 0.796 0.388 0.077
O 0.808 0.250 0.778
O 0.945 0.034 0.343
O 0.945 0.466 0.343
O 0.969 0.662 0.358
O 0.969 0.838 0.358

Output
The raw total energy is -7.3208 eV/atom. The value obtained for the uncorrected formation energy is -2.59 eV/atom.

=====

Taking the records one at a time from the top gives volume values of 95.5; 125.4; 117.0; 186.8 Å³/f.u..